Computed, not measured: crystalline Ti2CoP2O10 at its relaxed geometry at the PBE with a Hubbard U level of DFT.

Structure (extended XYZ):
```
30
Lattice="7.433 0.000 0.000 0.000 7.480 0.000 -3.664 0.000 6.465" Properties=species:S:1:pos:R:3 pbc="T T T"
Ti 0.984 1.669 1.343
Ti -0.848 2.071 4.575
Ti 4.617 5.409 1.890
Ti 2.785 5.812 5.123
Co 3.716 0.000 0.000
Co 1.885 3.740 3.233
P 1.872 4.640 0.026
P 0.040 6.580 3.259
P 3.729 0.900 3.207
P 1.897 2.840 6.439
O -2.980 5.481 6.001
O -1.148 5.739 2.768
O -1.247 3.789 5.325
O 0.585 7.432 2.092
O 1.999 1.189 0.002
O 0.167 2.551 3.235
O -0.395 0.037 4.424
O 1.437 3.703 1.191
O 2.960 5.602 0.559
O 1.128 5.619 3.791
O 2.641 1.862 2.674
O 0.809 1.878 5.907
O 2.332 3.777 5.274
O 4.164 7.443 2.041
O 3.602 4.929 3.231
O 1.770 6.292 6.464
O 3.184 0.048 4.373
O 5.016 3.692 1.140
O 4.917 1.741 3.697
O 6.749 1.999 0.465
```

## Properties
* space group: P2_1/c, No. 14
* total DFT energy (no corrections): -7.859 eV/atom